Version 1
First-principles (GGA-PBE) data for a relaxed SrTl2Ga2 crystal, as listed in the Alexandria database.

Symmetry: No. 127
DOS at the Fermi energy in states/eV per cell: 5.1
M_tot in Bohr magnetons per cell: 0.00

Cell lengths 8.335, 8.335, 3.940 Å; angles 90.00, 90.00, 90.00 degrees
Fractional coordinates of all 10 atoms:
Sr  0.000  0.000  0.000
Sr  0.500  0.500  0.000
Tl  0.177  0.323  0.500
Tl  0.323  0.823  0.500
Tl  0.677  0.177  0.500
Tl  0.823  0.677  0.500
Ga  0.116  0.616  0.000
Ga  0.384  0.116  0.000
Ga  0.616  0.884  0.000
Ga  0.884  0.384  0.000

Version 2
First-principles (GGA-PBE) data for a relaxed SrTl2Ga2 crystal, as listed in the Alexandria database.

Symmetry: No. 127
DOS at the Fermi energy in states/eV per cell: 6.5
M_tot in Bohr magnetons per cell: 0.00

Cell lengths 8.599, 8.599, 3.781 Å; angles 90.00, 90.00, 90.00 degrees
Fractional coordinates of all 10 atoms:
Sr  0.000  0.000  0.000
Sr  0.500  0.500  0.000
Tl  0.131  0.369  0.000
Tl  0.369  0.869  0.000
Tl  0.631  0.131  0.000
Tl  0.869  0.631  0.000
Ga  0.167  0.667  0.500
Ga  0.333  0.167  0.500
Ga  0.667  0.833  0.500
Ga  0.833  0.333  0.500

Version 3
First-principles (GGA-PBE) data for a relaxed SrTl2Ga2 crystal, as listed in the Alexandria database.

Symmetry: No. 139
DOS at the Fermi energy in states/eV per cell: 1.1
M_tot in Bohr magnetons per cell: 0.00

Cell lengths 6.697, 6.697, 6.697 Å; angles 137.22, 137.22, 62.11 degrees
Fractional coordinates of all 5 atoms:
Sr  0.000  0.000  0.000
Tl  0.250  0.750  0.500
Tl  0.750  0.250  0.500
Ga  0.391  0.391  0.000
Ga  0.609  0.609  0.000

Version 4
First-principles (GGA-PBE) data for a relaxed SrTl2Ga2 crystal, as listed in the Alexandria database.

Symmetry: No. 139
DOS at the Fermi energy in states/eV per cell: 2.2
M_tot in Bohr magnetons per cell: 0.00

Cell lengths 6.843, 6.843, 6.843 Å; angles 138.15, 138.15, 60.67 degrees
Fractional coordinates of all 5 atoms:
Sr  0.000  0.000  0.000
Tl  0.375  0.375  0.000
Tl  0.625  0.625  0.000
Ga  0.250  0.750  0.500
Ga  0.750  0.250  0.500

Most stable structure: version 3

Version 1
First-principles (GGA-PBE) data for a relaxed SrTlGa3 crystal, as listed in the Alexandria database.

Symmetry: No. 221
DOS at the Fermi energy in states/eV per cell: 3.8
M_tot in Bohr magnetons per cell: 0.00

Cell lengths 5.447, 5.447, 5.447 Å; angles 90.00, 90.00, 90.00 degrees
Fractional coordinates of all 5 atoms:
Sr  0.000  0.000  0.000
Tl  0.500  0.500  0.500
Ga  0.000  0.500  0.500
Ga  0.500  0.000  0.500
Ga  0.500  0.500  0.000

Version 2
First-principles (GGA-PBE) data for a relaxed SrTlGa3 crystal, as listed in the Alexandria database.

Symmetry: No. 221
DOS at the Fermi energy in states/eV per cell: 4.0
M_tot in Bohr magnetons per cell: 0.00

Cell lengths 5.895, 5.895, 5.895 Å; angles 90.00, 90.00, 90.00 degrees
Fractional coordinates of all 5 atoms:
Sr  0.000  0.000  0.000
Tl  0.500  0.500  0.500
Ga  0.000  0.000  0.500
Ga  0.000  0.500  0.000
Ga  0.500  0.000  0.000

Most stable structure: version 1

Version 1
First-principles (GGA-PBE) data for a relaxed Sr6Tl2Ga crystal, as listed in the Alexandria database.

Symmetry: No. 69
DOS at the Fermi energy in states/eV per cell: 6.6
M_tot in Bohr magnetons per cell: 0.00

Cell lengths 11.269, 9.150, 7.743 Å; angles 83.24, 53.73, 43.02 degrees
Fractional coordinates of all 9 atoms:
Sr  0.131  0.869  0.131
Sr  0.202  0.473  0.527
Sr  0.473  0.202  0.798
Sr  0.527  0.798  0.202
Sr  0.798  0.527  0.473
Sr  0.869  0.131  0.869
Tl  0.169  0.169  0.831
Tl  0.831  0.831  0.169
Ga  0.500  0.500  0.500

Version 2
First-principles (GGA-PBE) data for a relaxed Sr6Tl2Ga crystal, as listed in the Alexandria database.

Symmetry: No. 58
DOS at the Fermi energy in states/eV per cell: 16.6
M_tot in Bohr magnetons per cell: 0.00

Cell lengths 11.074, 11.083, 5.715 Å; angles 90.00, 90.00, 90.00 degrees
Fractional coordinates of all 18 atoms:
Sr  0.029  0.204  0.000
Sr  0.115  0.614  0.500
Sr  0.203  0.970  0.500
Sr  0.297  0.470  0.000
Sr  0.385  0.114  0.000
Sr  0.471  0.704  0.500
Sr  0.529  0.296  0.500
Sr  0.615  0.886  0.000
Sr  0.703  0.530  0.000
Sr  0.797  0.030  0.500
Sr  0.885  0.386  0.500
Sr  0.971  0.796  0.000
Tl  0.208  0.291  0.500
Tl  0.292  0.791  0.000
Tl  0.708  0.209  0.000
Tl  0.792  0.709  0.500
Ga  0.000  0.500  0.000
Ga  0.500  0.000  0.500

Most stable structure: version 1